Run a
This record from the Alexandria database describes an optimized crystal structure of La12Pm2Nd5. The functional is PBE.

The structure belongs to space group P-1 (No. 2); the cell edges are 6.381, 10.995 and 11.003 Å and the angles 66.08°, 79.47° and 79.45°. Symmetry generates all atoms from La at (0.000, 0.117, 0.117), La at (0.202, 0.062, 0.545), La at (0.202, 0.545, 0.062), La at (0.270, 0.447, 0.446), La at (0.378, 0.850, 0.359), La at (0.379, 0.359, 0.851), Pm at (0.001, 0.232, 0.767), Nd at (0.146, 0.680, 0.680), Nd at (0.444, 0.213, 0.213) and Nd at (0.500, 0.000, 0.000).

Run b
This record from the Alexandria database describes an optimized crystal structure of La12Pm2Nd5. The functional is PBE.

The structure belongs to space group C2/m (No. 12); the cell edges are 19.689, 7.640 and 10.242 Å and the angles 90.00°, 116.37° and 90.00°. Symmetry generates all atoms from La at (0.009, 0.000, 0.216), La at (0.012, 0.500, 0.353), La at (0.158, 0.250, 0.847), La at (0.167, 0.233, 0.498), Pm at (0.000, 0.300, 0.000), Nd at (0.000, 0.000, 0.500), Nd at (0.176, 0.000, 0.165) and Nd at (0.179, 0.500, 0.198).

Bottom line: run a, by a margin of 6.5 kJ/mol of atoms.

Run a
This record from the Alexandria database describes an optimized crystal structure of La2Pm2Nd3. The functional is PBE.

The structure belongs to space group C2/m (No. 12); the cell edges are 17.282, 3.565 and 9.025 Å and the angles 90.00°, 116.40° and 90.00°. Symmetry generates all atoms from La at (0.077, 0.000, 0.202), Pm at (0.140, 0.500, 0.906), Nd at (0.000, 0.000, 0.500) and Nd at (0.222, 0.000, 0.648).

Run b
This record from the Alexandria database describes an optimized crystal structure of La2Pm2Nd3. The functional is PBE.

The structure belongs to space group P-1 (No. 2); the cell edges are 3.696, 6.380 and 11.111 Å and the angles 84.46°, 89.88° and 73.17°. Symmetry generates all atoms from La at (0.215, 0.070, 0.356), Pm at (0.071, 0.358, 0.788), Nd at (0.357, 0.785, 0.929) and Nd at (0.500, 0.500, 0.500).

Bottom line: run b, by a margin of 8.7 kJ/mol of atoms.

Run a
This record from the Alexandria database describes an optimized crystal structure of La2Pm3Nd3. The functional is PBE.

The structure belongs to space group C2/m (No. 12); the cell edges are 21.442, 5.217 and 5.217 Å and the angles 90.00°, 103.99° and 90.00°. Symmetry generates all atoms from La at (0.250, 0.000, 0.250), Pm at (0.000, 0.000, 0.000), Pm at (0.123, 0.000, 0.623), Nd at (0.000, 0.500, 0.500) and Nd at (0.123, 0.500, 0.123).

Run b
This record from the Alexandria database describes an optimized crystal structure of La2Pm3Nd3. The functional is PBE.

The structure belongs to space group Cmcm (No. 63); the cell edges are 3.615, 13.704 and 22.956 Å and the angles 90.00°, 90.00° and 90.00°. Symmetry generates all atoms from La at (0.000, 0.245, 0.127), Pm at (0.000, 0.370, 0.505), Pm at (0.000, 0.372, 0.250), Nd at (0.000, 0.012, 0.624) and Nd at (0.000, 0.376, 0.750).

Bottom line: run a, by a margin of 4.0 kJ/mol of atoms.

Run a
This record from the Alexandria database describes an optimized crystal structure of La6Pm2Nd3. The functional is PBE.

The structure belongs to space group P-1 (No. 2); the cell edges are 6.444, 8.262 and 8.266 Å and the angles 107.32°, 97.02° and 104.95°. Symmetry generates all atoms from La at (0.046, 0.180, 0.409), La at (0.135, 0.545, 0.228), La at (0.320, 0.272, 0.866), Pm at (0.227, 0.910, 0.046), Nd at (0.409, 0.638, 0.683) and Nd at (0.500, 0.000, 0.500).

Run b
This record from the Alexandria database describes an optimized crystal structure of La6Pm2Nd3. The functional is PBE.

The structure belongs to space group I4/mmm (No. 139); the cell edges are 4.814, 4.814 and 35.142 Å and the angles 90.00°, 90.00° and 90.00°. Symmetry generates all atoms from La at (0.000, 0.000, 0.211), La at (0.000, 0.500, 0.118), Pm at (0.000, 0.000, 0.044), Nd at (0.000, 0.000, 0.310) and Nd at (0.000, 0.000, 0.500).

Bottom line: run a, by a margin of 22.3 kJ/mol of atoms.

Run a
This record from the Alexandria database describes an optimized crystal structure of La7Pm4Nd. The functional is PBE.

The structure belongs to space group C2/m (No. 12); the cell edges are 16.648, 6.166 and 9.569 Å and the angles 90.00°, 116.54° and 90.00°. Symmetry generates all atoms from La at (0.000, 0.000, 0.000), La at (0.082, 0.500, 0.437), La at (0.207, 0.500, 0.219), La at (0.209, 0.500, 0.875), Pm at (0.073, 0.000, 0.699), Pm at (0.172, 0.000, 0.395) and Nd at (0.000, 0.500, 0.000).

Run b
This record from the Alexandria database describes an optimized crystal structure of La7Pm4Nd. The functional is PBE.

The structure belongs to space group P-1 (No. 2); the cell edges are 6.484, 7.443 and 9.232 Å and the angles 89.93°, 76.53° and 89.98°. Symmetry generates all atoms from La at (0.000, 0.000, 0.000), La at (0.221, 0.499, 0.332), La at (0.281, 0.751, 0.666), La at (0.499, 0.751, 0.001), Pm at (0.220, 0.000, 0.332), Pm at (0.278, 0.248, 0.670) and Nd at (0.000, 0.500, 0.000).

Bottom line: run b, by a margin of 16.3 kJ/mol of atoms.

Run a
This record from the Alexandria database describes an optimized crystal structure of LaPm8Nd6. The functional is PBE.

The structure belongs to space group R-3 (No. 148, hexagonal axes); the cell edges are 9.4832, 9.4832 and 20.4435 Å and the angles 90.00°, 90.00° and 120.00°. Symmetry generates all atoms from La at (0.0000, 0.0000, 0.0000), Pm at (0.0000, 0.0000, 0.4286), Pm at (0.0641, 0.2465, 0.1638) and Nd at (0.0433, 0.2464, 0.6907).

Run b
This record from the Alexandria database describes an optimized crystal structure of LaPm8Nd6. The functional is PBE.

The structure belongs to space group P-3 (No. 147); the cell edges are 10.0656, 10.0656 and 6.0508 Å and the angles 90.00°, 90.00° and 120.00°. Symmetry generates all atoms from La at (0.0000, 0.0000, 0.0000), Pm at (0.0523, 0.7811, 0.2767), Pm at (0.3333, 0.6667, 0.2800) and Nd at (0.0908, 0.6222, 0.7588).

Bottom line: run b, by a margin of 0.5 kJ/mol of atoms.

Run a
This record from the Alexandria database describes an optimized crystal structure of La3Pm2Nd2. The functional is PBE.

The structure belongs to space group P-1 (No. 2); the cell edges are 3.697, 6.416 and 11.089 Å and the angles 84.25°, 89.87° and 73.30°. Symmetry generates all atoms from La at (0.000, 0.000, 0.000), La at (0.145, 0.713, 0.571), Pm at (0.428, 0.144, 0.715) and Nd at (0.286, 0.429, 0.142).

Run b
This record from the Alexandria database describes an optimized crystal structure of La3Pm2Nd2. The functional is PBE.

The structure belongs to space group C2/m (No. 12); the cell edges are 17.933, 3.594 and 8.862 Å and the angles 90.00°, 118.46° and 90.00°. Symmetry generates all atoms from La at (0.000, 0.000, 0.000), La at (0.214, 0.000, 0.301), Pm at (0.064, 0.500, 0.407) and Nd at (0.146, 0.000, 0.830).

Bottom line: run a, by a margin of 7.2 kJ/mol of atoms.

Run a
This record from the Alexandria database describes an optimized crystal structure of La2Pm5Nd2. The functional is PBE.

The structure belongs to space group Ima2 (No. 46); the cell edges are 15.226, 12.184 and 6.900 Å and the angles 90.00°, 90.00° and 90.00°. Symmetry generates all atoms from La at (0.000, 0.000, 0.000), La at (0.250, 0.003, 0.071), Pm at (0.054, 0.744, 0.687), Pm at (0.143, 0.232, 0.872), Pm at (0.250, 0.735, 0.893) and Nd at (0.125, 0.003, 0.539).

Run b
This record from the Alexandria database describes an optimized crystal structure of La2Pm5Nd2. The functional is PBE.

The structure belongs to space group C2/m (No. 12); the cell edges are 18.045, 3.553 and 10.096 Å and the angles 90.00°, 98.46° and 90.00°. Symmetry generates all atoms from La at (0.163, 0.000, 0.223), Pm at (0.000, 0.000, 0.000), Pm at (0.170, 0.500, 0.539), Pm at (0.174, 0.000, 0.868) and Nd at (0.004, 0.500, 0.687).

Bottom line: run b, by a margin of 4.2 kJ/mol of atoms.

Run a
This record from the Alexandria database describes an optimized crystal structure of La7Pm2Nd3. The functional is PBE.

The structure belongs to space group P2/m (No. 10); the cell edges are 6.623, 3.628 and 18.101 Å and the angles 90.00°, 95.81° and 90.00°. Symmetry generates all atoms from La at (0.000, 0.000, 0.000), La at (0.221, 0.500, 0.170), La at (0.261, 0.500, 0.491), La at (0.275, 0.000, 0.833), Pm at (0.061, 0.500, 0.669), Nd at (0.453, 0.000, 0.336) and Nd at (0.500, 0.500, 0.000).

Run b
This record from the Alexandria database describes an optimized crystal structure of La7Pm2Nd3. The functional is PBE.

The structure belongs to space group P2/m (No. 10); the cell edges are 6.069, 3.663 and 19.599 Å and the angles 90.00°, 93.33° and 90.00°. Symmetry generates all atoms from La at (0.000, 0.000, 0.000), La at (0.180, 0.500, 0.181), La at (0.256, 0.500, 0.534), La at (0.323, 0.000, 0.854), Pm at (0.291, 0.500, 0.703), Nd at (0.219, 0.000, 0.365) and Nd at (0.500, 0.500, 0.000).

Bottom line: run a, by a margin of 1.7 kJ/mol of atoms.

Run a
This record from the Alexandria database describes an optimized crystal structure of LaPmNdSn. The functional is PBE.

The structure belongs to space group I-4m2 (No. 119); the cell edges are 4.917, 4.917 and 10.220 Å and the angles 90.00°, 90.00° and 90.00°. Symmetry generates all atoms from La at (0.000, 0.000, 0.000), Pm at (0.000, 0.500, 0.750), Nd at (0.000, 0.500, 0.250) and Sn at (0.000, 0.000, 0.500).

Run b
This record from the Alexandria database describes an optimized crystal structure of LaPmNdSn. The functional is PBE.

The structure belongs to space group F-43m (No. 216); the cell edges are 7.930, 7.930 and 7.930 Å and the angles 90.00°, 90.00° and 90.00°. Symmetry generates all atoms from La at (0.000, 0.000, 0.000), Pm at (0.000, 0.000, 0.500), Nd at (0.250, 0.250, 0.750) and Sn at (0.250, 0.250, 0.250).

Bottom line: run a, by a margin of 14.3 kJ/mol of atoms.

Run a
This record from the Alexandria database describes an optimized crystal structure of LaPmNdTh. The functional is PBE.

The structure belongs to space group P4mm (No. 99); the cell edges are 3.623, 3.623 and 10.582 Å and the angles 90.00°, 90.00° and 90.00°. Symmetry generates all atoms from La at (0.000, 0.000, 0.000), Pm at (0.500, 0.500, 0.735), Nd at (0.500, 0.500, 0.268) and Th at (0.000, 0.000, 0.502).

Run b
This record from the Alexandria database describes an optimized crystal structure of LaPmNdTh. The functional is PBE.

The structure belongs to space group F-43m (No. 216); the cell edges are 8.221, 8.221 and 8.221 Å and the angles 90.00°, 90.00° and 90.00°. Symmetry generates all atoms from La at (0.000, 0.000, 0.000), Pm at (0.000, 0.000, 0.500), Nd at (0.250, 0.250, 0.750) and Th at (0.250, 0.250, 0.250).

Bottom line: run a, by a margin of 16.7 kJ/mol of atoms.